Computed, not measured: crystalline BeCoSb4 at its relaxed geometry at the PBE-GGA level of DFT.

POSCAR file:
```
BeCoSb4
1.0
0.000 4.312 4.312
4.312 0.000 4.312
4.312 4.312 0.000
Be Co Sb
1 1 4
direct
0.000 0.000 0.000
0.750 0.750 0.750
0.375 0.375 0.375
0.375 0.375 0.876
0.375 0.876 0.375
0.876 0.375 0.375
```

Output
Formation energy (no corrections): 109 kJ per mole of atoms

=====

Computed, not measured: crystalline Ca2Ni2Pt at its relaxed geometry at the PBE-GGA level of DFT.

POSCAR file:
```
Ca2Ni2Pt
1.0
6.635 0.000 0.000
0.000 6.635 0.000
0.000 0.000 4.245
Ca Ni Pt
4 4 2
direct
0.183 0.317 0.000
0.317 0.817 0.000
0.683 0.183 0.000
0.817 0.683 0.000
0.125 0.625 0.500
0.375 0.125 0.500
0.625 0.875 0.500
0.875 0.375 0.500
0.000 0.000 0.500
0.500 0.500 0.500
```

Output
ΔE_f: -367 meV/atom
Polymorph energy (0 for the lowest one): 0.0000 eV/atom

=====

Computed, not measured: crystalline Hf4S at its relaxed geometry at the PBE-GGA level of DFT.

POSCAR file:
```
Hf4S
1.0
5.547 0.000 0.000
0.000 6.638 0.000
-0.013 0.000 5.782
Hf S
8 2
direct
0.214 0.134 0.085
0.214 0.866 0.585
0.222 0.388 0.584
0.222 0.612 0.084
0.778 0.388 0.916
0.778 0.612 0.416
0.786 0.134 0.415
0.786 0.866 0.915
0.500 0.126 0.750
0.500 0.874 0.250
```

Output
Polymorph energy (0 for the lowest one): 0.0000 eV/atom
Formation energy (no corrections): -53 kJ per mole of atoms

=====

Computed, not measured: crystalline Cu2SiRh at its relaxed geometry at the PBE-GGA level of DFT.

POSCAR file:
```
Cu2SiRh
1.0
2.735 0.000 0.000
0.000 4.510 0.000
-0.166 0.000 4.205
Cu Si Rh
2 1 1
direct
0.220 0.000 0.255
0.780 0.000 0.745
0.000 0.500 0.500
0.500 0.500 0.000
```

Output
Formation energy (no corrections): -17 kJ per mole of atoms

=====

Computed, not measured: crystalline K4ZrSi at its relaxed geometry at the PBE-GGA level of DFT.

POSCAR file:
```
K4ZrSi
1.0
0.000 4.818 4.818
4.818 0.000 4.818
4.818 4.818 0.000
K Zr Si
4 1 1
direct
0.123 0.123 0.123
0.123 0.123 0.630
0.123 0.630 0.123
0.630 0.123 0.123
0.500 0.500 0.500
0.750 0.750 0.750
```

Output
Formation energy (no corrections): 103 kJ per mole of atoms

=====

Computed, not measured: crystalline Ag2Pd3Au4 at its relaxed geometry at the PBE-GGA level of DFT.

POSCAR file:
```
Ag2Pd3Au4
1.0
6.050 -5.234 0.000
6.050 5.234 0.000
-0.043 0.000 5.033
Ag Pd Au
4 6 8
direct
0.140 0.296 0.055
0.296 0.140 0.555
0.704 0.860 0.445
0.860 0.704 0.945
0.037 0.963 0.750
0.337 0.463 0.429
0.463 0.337 0.929
0.537 0.663 0.071
0.663 0.537 0.571
0.963 0.037 0.250
0.030 0.670 0.440
0.209 0.627 0.948
0.330 0.970 0.060
0.373 0.791 0.552
0.627 0.209 0.448
0.670 0.030 0.940
0.791 0.373 0.052
0.970 0.330 0.560
```

Output
ΔE_f: 34 meV/atom
Polymorph energy (0 for the lowest one): 0.1153 eV/atom